No. 1
The following is a GGA-PBE calculation of Li3Nd2NpS6 after structural relaxation, from Alexandria.

Results
Energy relative to the elements, uncorrected (eV/f.u.): -19.48
Density (g cm⁻³): 4.7
Volume (Å³/f.u.): 261.2

Cell: 6.9767 6.9767 6.6158 Å, 100.06 100.06 120.03°
Closest atoms and distances in Å follow each position.
Sites, in units of the cell vectors:
S (0.5889, 0.9148, 0.7436)  3 Li 2.75-2.87, 1 Np 2.77, 2 Nd 2.83-2.84
Li (0.5000, 0.5000, 0.5000)  6 S 2.75-2.81
S (0.7580, 0.7580, 0.2543)  3 Li 2.71-2.81, 1 Np 2.77, 2 Nd 2.83
Np (0.0000, 0.0000, 0.0000)  6 S 2.77
S (0.4111, 0.0852, 0.2564)  3 Li 2.75-2.87, 1 Np 2.77, 2 Nd 2.83-2.84
S (0.2420, 0.2420, 0.7457)  3 Li 2.71-2.81, 1 Np 2.77, 2 Nd 2.83
Nd (0.3329, 0.6671, 0.0000)  6 S 2.83-2.84
Li (0.8391, 0.1609, 0.5000)  6 S 2.71-2.87
Nd (0.6671, 0.3329, 0.0000)  6 S 2.83-2.84
S (0.9148, 0.5889, 0.7436)  3 Li 2.75-2.87, 1 Np 2.77, 2 Nd 2.83-2.84
S (0.0852, 0.4111, 0.2564)  3 Li 2.75-2.87, 1 Np 2.77, 2 Nd 2.83-2.84
Li (0.1609, 0.8391, 0.5000)  6 S 2.71-2.87



No. 2
The following is a GGA-PBE calculation of Li4Nd3NpS8 after structural relaxation, from Alexandria.

Results
Energy relative to the elements, uncorrected (eV/f.u.): -26.58
Density (g cm⁻³): 4.5
Volume (Å³/f.u.): 350.0

Cell: 8.0727 7.7637 8.0697 Å, 121.36 120.01 90.00°
Closest atoms and distances in Å follow each position.
Sites, in units of the cell vectors:
S (0.2488, 0.7550, 0.0067)  3 Li 2.76-2.82, 1 Np 2.78, 2 Nd 2.83
Nd (0.5000, 0.5000, 0.0000)  6 S 2.83
S (0.2488, 0.7551, 0.4976)  3 Li 2.77-2.81, 1 Np 2.78, 2 Nd 2.83
Li (0.0000, 0.0000, 0.5000)  6 S 2.76-2.77
Nd (0.0000, 0.5000, 0.5000)  6 S 2.83
Li (0.5000, 0.0000, 0.0000)  6 S 2.81-2.82
Nd (0.5000, 0.5000, 0.5000)  6 S 2.83
S (0.7580, 0.7550, 0.0067)  3 Li 2.76-2.82, 1 Np 2.78, 2 Nd 2.83
Li (0.0000, 0.0000, 0.0000)  6 S 2.77
S (0.7512, 0.2449, 0.5024)  3 Li 2.77-2.81, 1 Np 2.78, 2 Nd 2.83
S (0.2470, 0.2415, 0.4940)  3 Li 2.77, 3 Nd 2.83
S (0.7530, 0.7585, 0.5060)  3 Li 2.77, 3 Nd 2.83
S (0.2420, 0.2450, 0.9933)  3 Li 2.76-2.82, 1 Np 2.78, 2 Nd 2.83
Li (0.5000, 0.0000, 0.5000)  6 S 2.76-2.77
S (0.7512, 0.2450, 0.9933)  3 Li 2.76-2.82, 1 Np 2.78, 2 Nd 2.83
Np (0.0000, 0.5000, 0.0000)  6 S 2.78



No. 3
The following is a GGA-PBE calculation of LiNdNpS3 after structural relaxation, from Alexandria.

Results
Energy relative to the elements, uncorrected (eV/f.u.): -9.27
Density (g cm⁻³): 6.1
Volume (Å³/f.u.): 131.4

Cell: 3.8843 8.1434 8.4989 Å, 102.21 90.00 90.00°
Closest atoms and distances in Å follow each position.
Sites, in units of the cell vectors:
S (0.7500, 0.2137, 0.4951)  3 Li 2.39-2.40
Li (0.2500, 0.0874, 0.5818)  4 S 2.38-2.40, 2 Li 2.63
S (0.2500, 0.7863, 0.5049)  3 Li 2.39-2.40
Nd (0.7500, 0.8187, 0.7814)  7 S 2.87-3.02
S (0.2500, 0.5746, 0.8317)  3 Np 2.75-2.78, 2 Nd 2.87
Np (0.7500, 0.3368, 0.8342)  6 S 2.75-2.84
S (0.7500, 0.4254, 0.1683)  3 Np 2.75-2.78, 2 Nd 2.87
Nd (0.2500, 0.1813, 0.2186)  7 S 2.87-3.02
Li (0.7500, 0.9126, 0.4182)  4 S 2.38-2.40, 2 Li 2.63
S (0.2500, 0.0983, 0.8640)  1 Li 2.38
Np (0.2500, 0.6632, 0.1658)  6 S 2.75-2.84
S (0.7500, 0.9017, 0.1360)  1 Li 2.38



No. 4
The following is a GGA-PBE calculation of Li2NdNpS4 after structural relaxation, from Alexandria.

Results
Energy relative to the elements, uncorrected (eV/f.u.): -12.43
Density (g cm⁻³): 5.1
Volume (Å³/f.u.): 171.7

Cell: 4.0036 6.9322 6.6092 Å, 110.60 90.00 90.00°
Closest atoms and distances in Å follow each position.
Sites, in units of the cell vectors:
Np (0.5000, 0.5000, 0.0000)  6 S 2.77-2.78
S (0.5000, 0.2588, 0.2579)  3 Li 2.74-2.79, 1 Np 2.78, 2 Nd 2.82
Nd (0.0000, 0.0000, 0.0000)  6 S 2.82-2.83
S (0.0000, 0.2568, 0.7480)  3 Li 2.73-2.79, 2 Np 2.77, 1 Nd 2.83
S (0.5000, 0.7412, 0.7421)  3 Li 2.74-2.79, 1 Np 2.78, 2 Nd 2.82
Li (0.5000, 0.0000, 0.5000)  6 S 2.79
Li (0.0000, 0.5000, 0.5000)  6 S 2.73-2.74
S (0.0000, 0.7432, 0.2520)  3 Li 2.73-2.79, 2 Np 2.77, 1 Nd 2.83



Repeat the third record exactly.
The following is a GGA-PBE calculation of LiNdNpS3 after structural relaxation, from Alexandria.

Results
Energy relative to the elements, uncorrected (eV/f.u.): -9.27
Density (g cm⁻³): 6.1
Volume (Å³/f.u.): 131.4

Cell: 3.8843 8.1434 8.4989 Å, 102.21 90.00 90.00°
Closest atoms and distances in Å follow each position.
Sites, in units of the cell vectors:
S (0.7500, 0.2137, 0.4951)  3 Li 2.39-2.40
Li (0.2500, 0.0874, 0.5818)  4 S 2.38-2.40, 2 Li 2.63
S (0.2500, 0.7863, 0.5049)  3 Li 2.39-2.40
Nd (0.7500, 0.8187, 0.7814)  7 S 2.87-3.02
S (0.2500, 0.5746, 0.8317)  3 Np 2.75-2.78, 2 Nd 2.87
Np (0.7500, 0.3368, 0.8342)  6 S 2.75-2.84
S (0.7500, 0.4254, 0.1683)  3 Np 2.75-2.78, 2 Nd 2.87
Nd (0.2500, 0.1813, 0.2186)  7 S 2.87-3.02
Li (0.7500, 0.9126, 0.4182)  4 S 2.38-2.40, 2 Li 2.63
S (0.2500, 0.0983, 0.8640)  1 Li 2.38
Np (0.2500, 0.6632, 0.1658)  6 S 2.75-2.84
S (0.7500, 0.9017, 0.1360)  1 Li 2.38